# Er6Fe2Rh

A relaxed structure of Er6Fe2Rh (GGA-PBE, Alexandria).

Output
Formation enthalpy at 0 K, meV per atom: -233
SG: Immm, No. 71
DOS at the Fermi energy, states/eV/atom: 1.044
Calculated volume, Å³/atom: 22.88

abc: 8.1211 8.1211 8.1211
angles: 108.91 111.59 107.93
Last column: magnetic moment on the atom in μB.
Atoms (fractional coordinates):
Rh1 0.0000 0.5000 0.5000  -0.02
Er1 0.8075 0.2576 0.0652  -0.07
Er2 0.8075 0.7424 0.5499  -0.07
Er3 0.9210 0.7415 0.1795  -0.14
Er4 0.5620 0.7415 0.8205  -0.14
Er5 0.6976 0.3790 0.6814  -0.16
Er6 0.0790 0.2585 0.8205  -0.14
Er7 0.3024 0.6210 0.3186  -0.16
Fe1 0.6258 0.0000 0.6258  1.32
Fe2 0.5000 0.6107 0.1107  1.25
Fe3 0.5000 0.3893 0.8893  1.25
Er8 0.4380 0.2585 0.1795  -0.14
Er9 0.6976 0.0162 0.3186  -0.16
Rh2 0.0000 0.0000 0.0000  -0.01
Er10 0.1925 0.2576 0.4501  -0.07
Er11 0.1925 0.7424 0.9348  -0.07
Er12 0.3024 0.9838 0.6814  -0.16
Fe4 0.3742 0.0000 0.3742  1.32

# AcAg2PtO4

A relaxed structure of AcAg2PtO4 (GGA-PBE, Alexandria).

Output
ΔE_f (raw), eV/atom: -1.012
SG: Immm, No. 71
DOS at the Fermi energy, states/eV/atom: 0.649
Calculated volume, Å³/atom: 19.26

abc: 6.5166 5.8529 5.8529
angles: 72.35 56.17 56.17
Last column: magnetic moment on the atom in μB.
Atoms (fractional coordinates):
O1 0.8017 0.9102 0.4866  0.11
O2 0.8016 0.4866 0.9102  0.11
Pt1 0.0000 0.5000 0.5000  0.45
Ag1 0.5000 0.7955 0.2045  0.02
O3 0.1983 0.5134 0.0898  0.11
Ac1 0.0000 0.0000 0.0000  0.01
Ag2 0.5000 0.2045 0.7955  0.02
O4 0.1984 0.0898 0.5134  0.11

# TbHRh

A relaxed structure of TbHRh (GGA-PBE, Alexandria).

Output
Raw total energy, Ha/atom: -0.214
SG: Imma, No. 74
DOS at the Fermi energy, states/eV/atom: 0.537
Calculated volume, Å³/atom: 14.53

abc: 4.9852 4.9210 4.9900
angles: 60.46 60.03 90.00
Atoms (fractional coordinates):
Rh1 0.5478 0.9333 0.7774
Tb1 0.2678 0.1833 0.2774
Rh2 0.9878 0.4333 0.7774
Tb2 0.7678 0.6833 0.2774
H1 0.2678 0.6833 0.7774
H2 0.2678 0.1833 0.7774

# SrTcIr

A relaxed structure of SrTcIr (GGA-PBE, Alexandria).

Output
Formation enthalpy at 0 K, meV per atom: 102
SG: Pm, No. 6
DOS at the Fermi energy, states/eV/atom: 0.764
Calculated volume, Å³/atom: 22.05

abc: 4.5280 5.1851 6.0342
angles: 69.04 90.00 90.00
Atoms (fractional coordinates):
Ir1 0.7810 0.7742 0.0575
Tc1 0.2809 0.5334 0.1538
Tc2 0.7809 0.2267 0.1646
Sr1 0.2812 0.9009 0.5968
Ir2 0.2810 0.0767 0.0523
Sr2 0.7812 0.4069 0.6324

# SnP3S

A relaxed structure of SnP3S (GGA-PBE, Alexandria).

Output
ΔE_f (raw), eV/atom: 0.739
SG: Pm-3m, No. 221
DOS at the Fermi energy, states/eV/atom: 0.627
Calculated volume, Å³/atom: 19.23

abc: 4.5815 4.5815 4.5815
angles: 90.00 90.00 90.00
Atoms (fractional coordinates):
S1 0.0000 0.0000 0.0000
P1 0.0000 0.0000 0.5000
Sn1 0.5000 0.5000 0.5000
P2 0.0000 0.5000 0.0000
P3 0.5000 0.0000 0.0000

# ZrFeCuIr2

A relaxed structure of ZrFeCuIr2 (GGA-PBE, Alexandria).

Output
Formation enthalpy at 0 K, meV per atom: 825
SG: P4/mmm, No. 123
DOS at the Fermi energy, states/eV/atom: 0.875
Calculated volume, Å³/atom: 18.31

abc: 4.4651 4.5923 4.4651
angles: 90.00 90.00 90.00
Atoms (fractional coordinates):
Ir1 0.0000 0.0000 0.5000
Zr1 0.0000 0.5000 0.0000
Fe1 0.0000 0.0000 0.0000
Ir2 0.5000 0.0000 0.0000
Cu1 0.5000 0.5000 0.5000

# LiCrCl2

A relaxed structure of LiCrCl2 (GGA-PBE, Alexandria).

Output
ΔE_f (raw), eV/atom: -0.821
SG: Cm, No. 8
Calculated volume, Å³/atom: 24.18

abc: 7.3474 4.4065 13.8308
angles: 90.00 120.23 90.00
Atoms (fractional coordinates):
Li1 0.2574 0.0000 0.0652
Cr1 0.6642 0.8096 0.5046
Cl1 0.3437 0.0000 0.6433
Li2 0.2574 0.5000 0.5652
Cl2 0.3508 0.0000 0.9177
Li3 0.7066 0.0000 0.7366
Cr2 0.6642 0.1904 0.5046
Cl3 0.8638 0.0000 0.9398
Li4 0.7066 0.5000 0.2366
Cr3 0.6642 0.6904 0.0046
Cl4 0.3437 0.5000 0.1433
Cl5 0.8195 0.5000 0.6828
Cl6 0.3508 0.5000 0.4177
Cl7 0.8638 0.5000 0.4398
Cr4 0.6642 0.3096 0.0046
Cl8 0.8195 0.0000 0.1828

# MgIrRhPb

A relaxed structure of MgIrRhPb (GGA-PBE, Alexandria).

Output
Formation enthalpy at 0 K, meV per atom: -143
SG: F-43m, No. 216
DOS at the Fermi energy, states/eV/atom: 0.345
Calculated volume, Å³/atom: 16.95

abc: 4.5768 4.5768 4.5768
angles: 60.00 60.00 60.00
Atoms (fractional coordinates):
Ir1 0.0000 0.0000 0.0000
Mg1 0.2500 0.2500 0.2500
Pb1 0.7500 0.7500 0.7500
Rh1 0.5000 0.5000 0.5000

# TiBeNbTc

A relaxed structure of TiBeNbTc (GGA-PBE, Alexandria).

Output
Formation enthalpy at 0 K, meV per atom: -180
SG: F-43m, No. 216
DOS at the Fermi energy, states/eV/atom: 0.353
Calculated volume, Å³/atom: 14.81

abc: 4.3757 4.3757 4.3757
angles: 60.00 60.00 60.00
Atoms (fractional coordinates):
Nb1 0.0000 0.0000 0.0000
Ti1 0.5000 0.5000 0.5000
Be1 0.2500 0.2500 0.2500
Tc1 0.7500 0.7500 0.7500

# NdHoN

A relaxed structure of NdHoN (GGA-PBE, Alexandria).

Output
ΔE_f (raw), eV/atom: -0.956
SG: R-3m, No. 166
DOS at the Fermi energy, states/eV/atom: 0.808
Calculated volume, Å³/atom: 22.60

abc: 3.5282 3.5282 12.7435
angles: 82.04 82.04 60.00
Last column: magnetic moment on the atom in μB.
Atoms (fractional coordinates):
N1 0.4099 0.4099 0.7702  0.00
Ho1 0.0463 0.0463 0.8611  0.09
N2 0.5901 0.5901 0.2298  0.00
Nd1 0.2140 0.2140 0.3579  0.17
Ho2 0.9537 0.9537 0.1389  0.09
Nd2 0.7860 0.7860 0.6421  0.17

# BaCr2Re

A relaxed structure of BaCr2Re (GGA-PBE, Alexandria).

Output
Formation enthalpy at 0 K, meV per atom: 1363
SG: Fm-3m, No. 225
DOS at the Fermi energy, states/eV/atom: 1.114
Calculated volume, Å³/atom: 20.29

abc: 4.8601 4.8601 4.8601
angles: 60.00 60.00 60.00
Last column: magnetic moment on the atom in μB.
Atoms (fractional coordinates):
Cr1 0.2500 0.2500 0.2500  3.18
Re1 0.5000 0.5000 0.5000  -1.65
Cr2 0.7500 0.7500 0.7500  3.18
Ba1 0.0000 0.0000 0.0000  0.07

# VFeNiPd

A relaxed structure of VFeNiPd (GGA-PBE, Alexandria).

Output
Formation enthalpy at 0 K, meV per atom: -40
SG: F-43m, No. 216
DOS at the Fermi energy, states/eV/atom: 0.830
Calculated volume, Å³/atom: 12.91

abc: 4.1798 4.1798 4.1798
angles: 60.00 60.00 60.00
Last column: magnetic moment on the atom in μB.
Atoms (fractional coordinates):
Ni1 0.2500 0.2500 0.2500  0.01
Fe1 0.7500 0.7500 0.7500  2.38
Pd1 0.5000 0.5000 0.5000  0.16
V1 0.0000 0.0000 0.0000  -1.31

# CaRhO2

A relaxed structure of CaRhO2 (GGA-PBE, Alexandria).

Output
ΔE_f (raw), eV/atom: -1.504
SG: R-3m, No. 166
DOS at the Fermi energy, states/eV/atom: 0.303
Calculated volume, Å³/atom: 15.24

abc: 6.4599 6.4599 6.4599
angles: 30.34 30.34 30.34
Last column: magnetic moment on the atom in μB.
Atoms (fractional coordinates):
O1 0.8986 0.8986 0.8986  0.27
O2 0.1014 0.1014 0.1014  0.27
Ca1 0.5000 0.5000 0.5000  0.04
Rh1 0.0000 0.0000 0.0000  1.31

# Tl3In5S12

A relaxed structure of Tl3In5S12 (GGA-PBE, Alexandria).

Output
ΔE_f (raw), eV/atom: -0.204
SG: Ia-3d, No. 230
DOS at the Fermi energy, states/eV/atom: 0.584
Calculated volume, Å³/atom: 25.49

abc: 13.8371 13.8371 13.8371
angles: 109.47 109.47 109.47
Atoms (fractional coordinates):
S1 0.2891 0.4242 0.8274
S2 0.2109 0.5383 0.6351
S3 0.0968 0.1726 0.4617
In1 0.0000 0.5000 0.0000
S4 0.3274 0.7891 0.4242
S5 0.1726 0.0758 0.7109
S6 0.4032 0.0383 0.3274
S7 0.9032 0.8274 0.5383
S8 0.7109 0.5758 0.1726
In2 0.3750 0.2500 0.1250
S9 0.8649 0.5758 0.9032
In3 0.8750 0.6250 0.7500
In4 0.2500 0.3750 0.6250
S10 0.0383 0.4032 0.8274
S11 0.7109 0.1351 0.0383
S12 0.6351 0.0383 0.2109
Tl1 0.7500 0.3750 0.1250
In5 0.0000 0.0000 0.5000
Tl2 0.8750 0.7500 0.1250
S13 0.5383 0.3274 0.9032
In6 0.0000 0.0000 0.0000
S14 0.5968 0.6351 0.4242
In7 0.7500 0.1250 0.8750
Tl3 0.6250 0.3750 0.7500
Tl4 0.2500 0.6250 0.8750
S15 0.6726 0.4617 0.5968
S16 0.8274 0.9032 0.0383
S17 0.1726 0.0968 0.9617
In8 0.5000 0.0000 0.5000
S18 0.0758 0.9032 0.3649
S19 0.6726 0.2109 0.5758
S20 0.4242 0.1351 0.5968
S21 0.3649 0.4032 0.0758
In9 0.6250 0.8750 0.2500
Tl5 0.8750 0.1250 0.2500
In10 0.7500 0.6250 0.3750
S22 0.3274 0.5383 0.4032
S23 0.4242 0.2891 0.3274
S24 0.9617 0.5968 0.1726
S25 0.7891 0.3274 0.9242
In11 0.1250 0.3750 0.2500
S26 0.9242 0.0968 0.6351
In12 0.1250 0.7500 0.3750
Tl6 0.3750 0.7500 0.6250
S27 0.4617 0.7891 0.8649
In13 0.5000 0.0000 0.0000
S28 0.4032 0.3649 0.5758
In14 0.5000 0.5000 0.5000
S29 0.2891 0.8649 0.9617
Tl7 0.1250 0.8750 0.7500
Tl8 0.7500 0.8750 0.6250
S30 0.0758 0.1726 0.2109
In15 0.5000 0.5000 0.0000
In16 0.8750 0.2500 0.6250
S31 0.6351 0.5968 0.9242
S32 0.9617 0.3649 0.2891
Tl9 0.1250 0.2500 0.8750
In17 0.2500 0.8750 0.1250
S33 0.0383 0.6351 0.7109
S34 0.7891 0.4617 0.3649
S35 0.5968 0.9617 0.6726
S36 0.2109 0.6726 0.0758
S37 0.8649 0.2891 0.4617
S38 0.0968 0.9242 0.1351
Tl10 0.6250 0.2500 0.3750
S39 0.3649 0.9617 0.7891
S40 0.9242 0.8274 0.7891
In18 0.3750 0.1250 0.7500
S41 0.5383 0.2109 0.1351
S42 0.9032 0.0758 0.8649
Tl11 0.3750 0.6250 0.2500
S43 0.1351 0.4242 0.0968
In19 0.0000 0.5000 0.5000
S44 0.5758 0.8649 0.4032
In20 0.6250 0.7500 0.8750
S45 0.5758 0.7109 0.6726
Tl12 0.2500 0.1250 0.3750
S46 0.1351 0.7109 0.5383
S47 0.8274 0.9242 0.2891
S48 0.4617 0.6726 0.0968

# ZrBe3Cl

A relaxed structure of ZrBe3Cl (GGA-PBE, Alexandria).

Output
ΔE_f (raw), eV/atom: 1.722
SG: Pm-3m, No. 221
DOS at the Fermi energy, states/eV/atom: 0.689
Calculated volume, Å³/atom: 26.41

abc: 5.0924 5.0924 5.0924
angles: 90.00 90.00 90.00
Atoms (fractional coordinates):
Be1 0.5000 0.0000 0.0000
Cl1 0.5000 0.5000 0.5000
Zr1 0.0000 0.0000 0.0000
Be2 0.0000 0.0000 0.5000
Be3 0.0000 0.5000 0.0000

# Cs2ThNb3O12

A relaxed structure of Cs2ThNb3O12 (GGA-PBE, Alexandria).

Output
ΔE_f (raw), eV/atom: -2.311
SG: R-3m, No. 166
DOS at the Fermi energy, states/eV/atom: 0.700
Calculated volume, Å³/atom: 18.36

abc: 7.7913 7.7913 7.7913
angles: 59.47 59.47 59.47
Last column: magnetic moment on the atom in μB.
Atoms (fractional coordinates):
Th1 0.0000 0.0000 0.0000  0.05
Nb1 0.0000 0.5000 0.0000  -0.10
O1 0.9316 0.2981 0.2981  0.20
O2 0.9185 0.9185 0.3538  0.26
O3 0.7019 0.7019 0.0684  0.20
O4 0.0815 0.6462 0.0815  0.26
O5 0.2981 0.9316 0.2981  0.20
Nb2 0.5000 0.0000 0.0000  -0.10
O6 0.6462 0.0815 0.0815  0.26
O7 0.0815 0.0815 0.6462  0.26
Nb3 0.0000 0.0000 0.5000  -0.10
Cs1 0.3822 0.3822 0.3822  0.00
Cs2 0.6178 0.6178 0.6178  0.00
O8 0.9185 0.3538 0.9185  0.26
O9 0.0684 0.7019 0.7019  0.20
O10 0.3538 0.9185 0.9185  0.26
O11 0.7019 0.0684 0.7019  0.20
O12 0.2981 0.2981 0.9316  0.20

# Ce5CdGe3

A relaxed structure of Ce5CdGe3 (GGA-PBE, Alexandria).

Output
Formation enthalpy at 0 K, meV per atom: -557
SG: P6_3/mcm, No. 193
DOS at the Fermi energy, states/eV/atom: 1.926
Calculated volume, Å³/atom: 24.91

abc: 6.2740 9.0850 9.0848
angles: 120.00 90.00 90.00
Last column: magnetic moment on the atom in μB.
Atoms (fractional coordinates):
Ce1 0.5000 0.3334 0.6667  1.08
Ce2 0.2500 0.3093 0.3093  0.80
Cd1 0.0000 0.0000 0.0000  0.02
Ge1 0.2500 0.0000 0.3563  -0.03
Ce3 0.7500 0.0000 0.3093  0.80
Ce4 0.2500 0.0000 0.6907  0.80
Ce5 0.0000 0.6666 0.3333  1.08
Cd2 0.5000 0.0000 0.0000  0.02
Ce6 0.7500 0.6907 0.6907  0.80
Ce7 0.0000 0.3334 0.6667  1.08
Ge2 0.2500 0.6437 0.6437  -0.03
Ce8 0.5000 0.6666 0.3333  1.08
Ce9 0.2500 0.6907 0.0000  0.80
Ge3 0.7500 0.0000 0.6437  -0.03
Ge4 0.2500 0.3563 0.0000  -0.03
Ce10 0.7500 0.3093 0.0000  0.80
Ge5 0.7500 0.6437 0.0000  -0.03
Ge6 0.7500 0.3563 0.3563  -0.03

# LaGaNiH2

A relaxed structure of LaGaNiH2 (GGA-PBE, Alexandria).

Output
Raw total energy, Ha/atom: -0.168
SG: Cmcm, No. 63
DOS at the Fermi energy, states/eV/atom: 0.549
Calculated volume, Å³/atom: 13.32

abc: 3.9981 5.8738 6.0317
angles: 90.00 90.00 109.90
Atoms (fractional coordinates):
H1 0.1440 0.2881 0.5421
Ni1 0.0000 0.0000 0.0000
Ga1 0.5734 0.1469 0.2500
H2 0.8560 0.7119 0.0421
La1 0.7009 0.4018 0.7500
Ga2 0.4266 0.8531 0.7500
La2 0.2991 0.5982 0.2500
Ni2 0.0000 0.0000 0.5000
H3 0.1440 0.2881 0.9579
H4 0.8560 0.7119 0.4579

# Re2WSe

A relaxed structure of Re2WSe (GGA-PBE, Alexandria).

Output
ΔE_f (raw), eV/atom: 0.534
SG: Pmm2, No. 25
DOS at the Fermi energy, states/eV/atom: 0.757
Calculated volume, Å³/atom: 15.80

abc: 2.9113 4.0334 5.3817
angles: 90.00 90.00 90.00
Atoms (fractional coordinates):
Re1 0.5000 0.5000 0.2210
Re2 0.0000 0.0000 0.0270
Se1 0.0000 0.0000 0.5101
W1 0.5000 0.5000 0.7419

# BeTl2HgAs2

A relaxed structure of BeTl2HgAs2 (GGA-PBE, Alexandria).

Output
Formation enthalpy at 0 K, meV per atom: 55
SG: Ibam, No. 72
DOS at the Fermi energy, states/eV/atom: 0.200
Calculated volume, Å³/atom: 24.42

abc: 5.7223 5.8799 9.6268
angles: 107.78 107.29 90.00
Atoms (fractional coordinates):
Be1 0.5000 0.2500 0.0000
Tl1 0.6212 0.8202 0.6404
Be2 0.5000 0.7500 0.0000
As1 0.2328 0.9087 0.8174
Hg1 0.0000 0.7500 0.0000
Tl2 0.9808 0.6798 0.3596
As2 0.7672 0.0913 0.1826
Tl3 0.0192 0.3202 0.6404
As3 0.5845 0.4087 0.8174
Hg2 0.0000 0.2500 0.0000
As4 0.4155 0.5913 0.1826
Tl4 0.3788 0.1798 0.3596

# Pm8ZnAu2

A relaxed structure of Pm8ZnAu2 (GGA-PBE, Alexandria).

Output
Formation enthalpy at 0 K, meV per atom: -331
SG: C2/m, No. 12
DOS at the Fermi energy, states/eV/atom: 1.031
Calculated volume, Å³/atom: 29.48

abc: 5.2445 6.9999 9.6204
angles: 106.69 105.82 90.00
Atoms (fractional coordinates):
Au1 0.8220 0.2653 0.6440
Pm1 0.0250 0.7783 0.0501
Pm2 0.4087 0.5352 0.8174
Pm3 0.5913 0.4648 0.1826
Pm4 0.3318 0.0122 0.6636
Pm5 0.6682 0.9878 0.3364
Pm6 0.9750 0.2217 0.9499
Au2 0.1780 0.7347 0.3560
Pm7 0.8012 0.6695 0.6024
Zn1 0.5000 0.0000 0.0000
Pm8 0.1988 0.3305 0.3976